4
Lattice="-1.402 0.748 -2.495 -2.065 -2.047 0.546 -3.859 4.859 3.625" Properties=species:S:1:pos:R:3 comment="TiZnIrAu PBE relaxed" volume_a3_per_cell=63 e_form_ev_per_fu=-2.0 e_above_lowest_polymorph_mev_per_atom=0 magnetic_moment_mub_per_cell=0.0 dos_ef_per_ev_atom=0.64 pbc="T T T"
Au -0.250 0.314 0.234
Ti -3.072 1.036 0.283
Zn -4.842 3.264 1.945
Ir -2.191 2.758 2.058


5
Lattice="4.777 0.000 0.000 0.000 4.772 0.000 0.000 0.000 4.777" Properties=species:S:1:pos:R:3 comment="ZrTi2IrAu PBE relaxed" volume_a3_per_cell=109 e_form_ev_per_fu=5.8 magnetic_moment_mub_per_cell=0.0 dos_ef_per_ev_atom=0.83 pbc="T T T"
Ti 0.000 0.000 2.388
Ti 2.388 0.000 0.000
Zr 0.000 0.000 0.000
Ir 0.000 2.386 0.000
Au 2.388 2.386 2.388


6
Lattice="0.000 4.304 4.304 4.304 0.000 4.304 4.304 4.304 0.000" Properties=species:S:1:pos:R:3 comment="Tl4IrAu PBE relaxed" volume_a3_per_cell=159 e_form_ev_per_fu=5.3 magnetic_moment_mub_per_cell=0.3 dos_ef_per_ev_atom=0.85 pbc="T T T"
Ir 0.000 0.000 0.000
Tl 3.226 5.381 5.381
Tl 5.381 3.226 5.381
Tl 3.226 3.226 3.226
Tl 5.381 5.381 3.226
Au 6.455 6.455 6.455


4
Lattice="3.220 0.029 0.000 -0.022 3.220 0.000 0.000 0.000 7.918" Properties=species:S:1:pos:R:3 comment="Tl2IrAu PBE relaxed" volume_a3_per_cell=82 e_form_ev_per_fu=1.7 e_above_lowest_polymorph_mev_per_atom=129 magnetic_moment_mub_per_cell=0.0 dos_ef_per_ev_atom=0.38 pbc="T T T"
Tl 0.000 0.000 7.771
Tl 0.000 0.000 4.106
Ir 1.599 1.625 5.939
Au 1.599 1.625 1.980


4
Lattice="4.978 0.002 0.027 3.985 2.984 0.027 0.997 0.332 5.027" Properties=species:S:1:pos:R:3 comment="TlIrAu2 PBE relaxed" volume_a3_per_cell=75 e_form_ev_per_fu=1.5 e_above_lowest_polymorph_mev_per_atom=77 magnetic_moment_mub_per_cell=0.0 dos_ef_per_ev_atom=0.60 pbc="T T T"
Au 7.544 2.513 3.865
Au 1.031 0.344 4.900
Tl 2.447 0.815 1.408
Ir 4.915 1.637 2.474


4
Lattice="-1.235 1.107 -6.029 1.059 -0.823 -6.107 -2.803 -3.258 -1.822" Properties=species:S:1:pos:R:3 comment="TlIrAu2 PBE relaxed" volume_a3_per_cell=79 e_form_ev_per_fu=1.3 e_above_lowest_polymorph_mev_per_atom=25 magnetic_moment_mub_per_cell=0.0 dos_ef_per_ev_atom=0.91 pbc="T T T"
Au -2.706 -3.126 -2.209
Au -1.587 -1.619 -6.592
Ir -2.234 -2.231 -10.469
Tl -0.745 -0.744 -3.490


4
Lattice="-3.142 -3.145 2.076 -1.555 -4.633 -0.436 3.355 -2.453 3.573" Properties=species:S:1:pos:R:3 comment="Tl2IrAu PBE relaxed" volume_a3_per_cell=83 e_form_ev_per_fu=1.9 e_above_lowest_polymorph_mev_per_atom=190 magnetic_moment_mub_per_cell=0.0 dos_ef_per_ev_atom=0.40 pbc="T T T"
Tl -0.740 -5.133 2.573
Tl -4.628 -7.761 1.674
Ir -0.336 -2.558 1.303
Au -1.007 -7.674 3.910


10
Lattice="-2.218 3.792 -5.441 1.588 -5.267 -4.317 -3.747 -1.516 0.471" Properties=species:S:1:pos:R:3 comment="Tl2Ir2Au PBE relaxed" volume_a3_per_cell=199 e_form_ev_per_fu=1.8 magnetic_moment_mub_per_cell=0.0 dos_ef_per_ev_atom=0.62 pbc="T T T"
Tl -1.189 -3.648 -3.618
Tl -2.056 -2.556 -6.998
Tl -3.188 0.656 -5.670
Tl -2.322 -0.435 -2.290
Ir -1.191 1.704 -3.989
Ir 0.561 -3.180 -5.769
Ir -0.930 -0.020 -7.454
Ir 0.299 -1.456 -2.305
Au -0.315 -0.738 -4.879
Au 0.000 0.000 0.000


4
Lattice="4.940 0.044 0.007 -1.251 4.780 0.007 0.060 0.078 3.451" Properties=species:S:1:pos:R:3 comment="Tl2IrAu PBE relaxed" volume_a3_per_cell=82 e_form_ev_per_fu=1.8 e_above_lowest_polymorph_mev_per_atom=171 magnetic_moment_mub_per_cell=0.0 dos_ef_per_ev_atom=0.65 pbc="T T T"
Tl 0.000 0.000 0.000
Tl 1.845 2.412 0.007
Au 2.500 0.061 1.729
Ir -0.596 2.429 1.729


4
Lattice="4.094 0.000 0.000 0.000 4.101 0.000 0.000 0.000 4.343" Properties=species:S:1:pos:R:3 comment="TlIrAu2 PBE relaxed" volume_a3_per_cell=73 e_form_ev_per_fu=1.2 e_above_lowest_polymorph_mev_per_atom=0 magnetic_moment_mub_per_cell=0.0 dos_ef_per_ev_atom=0.41 pbc="T T T"
Ir 2.047 0.000 2.171
Au 2.047 2.050 0.000
Au 0.000 0.000 0.000
Tl 0.000 2.050 2.171


4
Lattice="10.365 0.022 0.013 9.936 2.953 0.013 9.936 1.456 2.569" Properties=species:S:1:pos:R:3 comment="TlIrAu2 PBE relaxed" volume_a3_per_cell=78 e_form_ev_per_fu=1.9 e_above_lowest_polymorph_mev_per_atom=177 magnetic_moment_mub_per_cell=0.7 dos_ef_per_ev_atom=1.16 pbc="T T T"
Au 29.962 4.391 2.571
Au 15.393 2.256 1.321
Tl 22.677 3.323 1.946
Ir 7.559 1.108 0.649


4
Lattice="-3.717 2.703 -3.168 -5.401 -0.975 1.019 4.524 1.330 2.987" Properties=species:S:1:pos:R:3 comment="Tl2IrAu PBE relaxed" volume_a3_per_cell=81 e_form_ev_per_fu=1.7 e_above_lowest_polymorph_mev_per_atom=146 magnetic_moment_mub_per_cell=0.0 dos_ef_per_ev_atom=0.34 pbc="T T T"
Au -4.559 0.864 -1.074
Ir -1.876 2.448 -0.627
Tl 0.000 0.000 0.000
Tl -2.718 0.609 1.466